Entry 1:
Here is crystalline Ac8PmY4 at its relaxed geometry from the Alexandria database. Energies are from PBE.

Lattice parameters (Å, degrees): 11.819 11.819 8.354 90.00 135.02 120.00
Fractional coordinates of all 13 atoms:
Ac: 0.517 0.759 0.276
Ac: 0.483 0.241 0.241
Ac: 0.000 0.758 0.241
Ac: 0.000 0.241 0.241
Ac: 0.517 0.759 0.759
Ac: 0.000 0.759 0.759
Ac: 0.000 0.242 0.759
Ac: 0.483 0.241 0.724
Y: 0.500 0.000 0.000
Y: 0.000 0.500 0.000
Y: 0.000 0.000 0.000
Y: 0.500 0.500 0.000
Pm: 0.000 0.500 0.500

Summary:
For the calculated formation energy, the calculation gives 38.8 kJ/mol of atoms. The total energy is -4.48 eV per atom. Its space group is R-3m, No. 166. For the spin magnetization, the calculation gives 0.00 Bohr magnetons per cell.

***

Entry 2:
Here is crystalline CuGe2Bi2 at its relaxed geometry from the Alexandria database. Energies are from PBE.

Lattice parameters (Å, degrees): 7.543 7.543 4.535 90.00 90.00 90.00
Fractional coordinates of all 10 atoms:
Ge: 0.621 0.879 0.500
Ge: 0.121 0.621 0.500
Ge: 0.379 0.121 0.500
Ge: 0.879 0.379 0.500
Bi: 0.184 0.316 0.000
Bi: 0.316 0.816 0.000
Bi: 0.684 0.184 0.000
Bi: 0.816 0.684 0.000
Cu: 0.000 0.000 0.000
Cu: 0.500 0.500 0.000

Summary:
For the calculated formation energy, the calculation gives 39.7 kJ/mol of atoms. The total energy is -3.81 eV per atom. Its space group is P4/mbm, No. 127. For the spin magnetization, the calculation gives 0.00 Bohr magnetons per cell. The energy above the most stable polymorph in this dataset comes out at 222.9 meV per atom.

***

Entry 3:
Here is crystalline MgTl2TeS4 at its relaxed geometry from the Alexandria database. Energies are from PBE.

Lattice parameters (Å, degrees): 8.183 8.183 8.060 119.50 119.50 89.95
Fractional coordinates of all 16 atoms:
Tl: 0.500 0.000 0.000
Tl: 0.500 0.000 0.500
Tl: 0.000 0.000 0.500
Tl: 0.500 0.500 0.000
Mg: 0.000 0.500 0.500
Mg: 0.000 0.500 0.000
S: 0.804 0.274 0.039
S: 0.767 0.733 0.975
S: 0.774 0.304 0.539
S: 0.233 0.267 0.025
S: 0.233 0.267 0.475
S: 0.226 0.696 0.461
S: 0.196 0.726 0.961
S: 0.767 0.733 0.525
Te: 0.500 0.500 0.500
Te: 0.000 0.000 0.000

Summary:
The value obtained for the uncorrected formation energy is -0.430 eV/atom. The total energy is -3.68 eV per atom. Its space group is Imma, No. 74. For the spin magnetization, the calculation gives 0.00 Bohr magnetons per cell.

***

Entry 4:
Here is crystalline Li2CaTa at its relaxed geometry from the Alexandria database. Energies are from PBE.

Lattice parameters (Å, degrees): 3.013 3.013 9.471 90.00 90.00 90.17
Fractional coordinates of all 4 atoms:
Li: 0.000 0.000 0.036
Li: 0.500 0.500 0.255
Ta: 0.000 0.000 0.475
Ca: 0.500 0.500 0.734

Summary:
For the calculated formation energy, the calculation gives 43.3 kJ/mol of atoms. The total energy is -3.97 eV per atom. Its space group is Cmm2, No. 35. For the spin magnetization, the calculation gives 0.00 Bohr magnetons per cell. The energy above the most stable polymorph in this dataset comes out at 0.0 meV per atom.

***

Entry 5:
Here is crystalline Ti2HRhAu at its relaxed geometry from the Alexandria database. Energies are from PBE.

Lattice parameters (Å, degrees): 4.006 4.006 4.068 90.00 90.00 90.00
Fractional coordinates of all 5 atoms:
H: 0.000 0.000 0.000
Ti: 0.500 0.000 0.000
Ti: 0.000 0.500 0.000
Au: 0.000 0.000 0.500
Rh: 0.500 0.500 0.500

Summary:
The total energy is -6.32 eV per atom. Its space group is P4/mmm, No. 123. For the spin magnetization, the calculation gives 0.00 Bohr magnetons per cell. The energy above the most stable polymorph in this dataset comes out at 102.7 meV per atom.

***

Entry 6:
Here is crystalline La3PrTm3 at its relaxed geometry from the Alexandria database. Energies are from PBE.

Lattice parameters (Å, degrees): 5.813 9.765 9.765 120.00 90.00 90.00
Fractional coordinates of all 14 atoms:
Tm: 0.750 0.904 0.518
Tm: 0.250 0.518 0.614
Tm: 0.250 0.096 0.482
Tm: 0.750 0.614 0.096
Tm: 0.250 0.386 0.904
Tm: 0.750 0.482 0.386
La: 0.750 0.755 0.807
La: 0.750 0.052 0.245
La: 0.750 0.193 0.948
La: 0.250 0.245 0.193
La: 0.250 0.948 0.755
La: 0.250 0.807 0.052
Pr: 0.250 0.667 0.333
Pr: 0.750 0.333 0.667

Summary:
For the calculated formation energy, the calculation gives 3.2 kJ/mol of atoms. The total energy is -4.68 eV per atom. Its space group is P6_3/m, No. 176. For the spin magnetization, the calculation gives 0.00 Bohr magnetons per cell. The energy above the most stable polymorph in this dataset comes out at 0.0 meV per atom.

***

Entry 7:
Here is crystalline TbTlP2O8 at its relaxed geometry from the Alexandria database. Energies are from PBE.

Lattice parameters (Å, degrees): 5.826 5.826 5.826 105.68 105.68 117.36
Fractional coordinates of all 12 atoms:
O: 0.337 0.166 0.829
O: 0.763 0.089 0.674
O: 0.337 0.507 0.171
O: 0.416 0.089 0.326
O: 0.911 0.237 0.326
O: 0.493 0.663 0.829
O: 0.834 0.663 0.171
O: 0.911 0.584 0.674
Tb: 0.000 0.000 0.000
P: 0.750 0.250 0.500
P: 0.500 0.500 0.000
Tl: 0.250 0.750 0.500

Summary:
The value obtained for the uncorrected formation energy is -2.284 eV/atom. The total energy is -7.07 eV per atom. Its space group is I-4m2, No. 119. For the spin magnetization, the calculation gives 0.00 Bohr magnetons per cell.

***

Entry 8:
Here is crystalline CaSb2Au at its relaxed geometry from the Alexandria database. Energies are from PBE.

Lattice parameters (Å, degrees): 4.757 4.774 4.328 90.00 90.00 90.00
Fractional coordinates of all 4 atoms:
Ca: 0.000 0.500 0.500
Au: 0.500 0.000 0.500
Sb: 0.000 0.000 0.000
Sb: 0.500 0.500 0.000

Summary:
The value obtained for the uncorrected formation energy is -0.433 eV/atom. The total energy is -3.81 eV per atom. Its space group is Pmmm, No. 47. For the spin magnetization, the calculation gives 0.00 Bohr magnetons per cell.

***

Entry 9:
Here is crystalline Y2AgPd at its relaxed geometry from the Alexandria database. Energies are from PBE.

Lattice parameters (Å, degrees): 3.570 3.570 7.227 90.00 90.00 90.00
Fractional coordinates of all 4 atoms:
Pd: 0.500 0.500 0.000
Y: 0.000 0.000 0.240
Y: 0.000 0.000 0.760
Ag: 0.500 0.500 0.500

Summary:
For the calculated formation energy, the calculation gives -57.9 kJ/mol of atoms. The total energy is -5.84 eV per atom. Its space group is P4/mmm, No. 123. For the spin magnetization, the calculation gives 0.00 Bohr magnetons per cell.

***

Entry 10:
Here is crystalline ZrTl4Hg at its relaxed geometry from the Alexandria database. Energies are from PBE.

Lattice parameters (Å, degrees): 6.218 6.218 6.218 60.00 60.00 60.00
Last column: magnetic moment on the atom in μB.
Fractional coordinates of all 6 atoms:
Hg: 0.000 0.000 0.000  0.01
Zr: 0.750 0.750 0.750  0.96
Tl: 0.375 0.375 0.375  0.02
Tl: 0.375 0.875 0.375  0.02
Tl: 0.375 0.375 0.875  0.02
Tl: 0.875 0.375 0.375  0.02

Summary:
For the calculated formation energy, the calculation gives 42.1 kJ/mol of atoms. The total energy is -2.62 eV per atom. Its space group is F-43m, No. 216. For the spin magnetization, the calculation gives 1.75 Bohr magnetons per cell.

***

Entry 11:
Here is crystalline Sr3LaNb3O12 at its relaxed geometry from the Alexandria database. Energies are from PBE.

Lattice parameters (Å, degrees): 9.823 9.823 9.823 33.96 33.96 33.96
Fractional coordinates of all 19 atoms:
O: 0.721 0.864 0.294
O: 0.263 0.149 0.701
O: 0.308 0.886 0.449
O: 0.701 0.263 0.149
O: 0.449 0.308 0.886
O: 0.149 0.701 0.263
O: 0.294 0.721 0.864
O: 0.123 0.548 0.691
O: 0.691 0.123 0.548
O: 0.548 0.691 0.123
O: 0.864 0.294 0.721
O: 0.886 0.449 0.308
Sr: 0.142 0.142 0.142
Sr: 0.858 0.858 0.858
Sr: 0.715 0.715 0.715
Nb: 0.577 0.577 0.577
Nb: 0.424 0.424 0.424
Nb: 0.002 0.002 0.002
La: 0.286 0.286 0.286

Summary:
The value obtained for the uncorrected formation energy is -2.935 eV/atom. The total energy is -8.18 eV per atom. Its space group is R3, No. 146. For the spin magnetization, the calculation gives 0.00 Bohr magnetons per cell.

***

Entry 12:
Here is crystalline Na4BiH2 at its relaxed geometry from the Alexandria database. Energies are from PBE.

Lattice parameters (Å, degrees): 8.509 8.628 7.218 106.03 105.28 123.13
Last column: magnetic moment on the atom in μB.
Fractional coordinates of all 14 atoms:
Bi: 0.001 0.001 0.002  0.48
Bi: 0.250 0.750 0.501  0.49
Na: 0.483 0.707 0.868  0.00
Na: 0.958 0.240 0.368  0.00
Na: 0.841 0.621 0.131  0.00
Na: 0.410 0.128 0.368  0.00
Na: 0.768 0.041 0.632  0.00
Na: 0.384 0.161 0.868  0.00
Na: 0.865 0.591 0.632  0.00
Na: 0.290 0.511 0.131  0.00
H: 0.125 0.375 0.750  0.02
H: 0.624 0.876 0.250  0.02
H: 0.625 0.375 0.750  0.02
H: 0.626 0.375 0.250  0.02

Summary:
The total energy is -2.32 eV per atom. Its space group is P1, No. 1. For the spin magnetization, the calculation gives 1.78 Bohr magnetons per cell.